(1)
First-principles (PBE-GGA) data for AgOs3C after structural relaxation, as listed in Alexandria via LeMat-Bulk.

- Volume: 22.59 Å³/atom
- Calculated formation energy: 4451 meV per atom
- Spin magnetization: 5.90 μB/cell
- N(E_F): 1.4313 states/eV per atom
- Mass density: 10.15 g cm⁻³

Cell and atoms, written as POSCAR:
```
AgOs3C
1.0
-0.518 -3.337 3.458
3.931 -2.295 -1.626
2.765 2.638 2.960
C Os Ag
1 3 1
Cartesian
3.089 -1.497 2.396 C
-0.259 -1.669 1.729 Os
1.382 1.319 1.480 Os
1.965 -1.147 -0.813 Os
0.000 0.000 0.000 Ag
```

(2)
First-principles (PBE-GGA) data for AgOsC3 after structural relaxation, as listed in Alexandria via LeMat-Bulk.

- Volume: 12.97 Å³/atom
- Calculated formation energy: 1945 meV per atom
- Spin magnetization: 0.00 μB/cell
- N(E_F): 0.6847 states/eV per atom
- Mass density: 8.56 g cm⁻³

Cell and atoms, written as POSCAR:
```
AgOsC3
1.0
4.018 0.000 0.000
0.000 4.018 0.000
0.000 0.000 4.018
C Os Ag
3 1 1
Cartesian
2.009 0.000 0.000 C
0.000 2.009 0.000 C
0.000 0.000 2.009 C
0.000 0.000 0.000 Os
2.009 2.009 2.009 Ag
```